(1)
# FeSbCl3

An optimized crystal structure of FeSbCl3 (PBE, Alexandria via LeMat-Bulk). Values from VASP.

Cell and atoms, written as Quantum ESPRESSO input:
```
&SYSTEM
  ibrav = 0, nat = 5, ntyp = 3
/
ATOMIC_SPECIES
Cl 35.45 Cl.upf
Sb 121.76 Sb.upf
Fe 55.84 Fe.upf
ATOMIC_POSITIONS crystal
Cl 0.000 0.500 0.000
Cl 0.000 0.000 0.500
Cl 0.500 0.000 0.000
Sb 0.500 0.500 0.500
Fe 0.000 0.000 0.000
CELL_PARAMETERS angstrom
4.631 0.000 0.000
0.000 4.631 0.000
0.000 0.000 4.631
```

VASP energy, eV per atom: -3.5541
Energy relative to the lowest polymorph listed for this composition, eV per atom: 0.000
Space-group type: No. 221
E_form (uncorrected), eV/atom: 0.071



(2)
# Fe2SbCl

An optimized crystal structure of Fe2SbCl (PBE, Alexandria via LeMat-Bulk). Values from VASP.

Cell and atoms, written as Quantum ESPRESSO input:
```
&SYSTEM
  ibrav = 0, nat = 4, ntyp = 3
/
ATOMIC_SPECIES
Fe 55.84 Fe.upf
Sb 121.76 Sb.upf
Cl 35.45 Cl.upf
ATOMIC_POSITIONS crystal
Fe 0.990 0.990 0.000
Fe 0.788 0.288 0.500
Sb 0.521 0.521 0.000
Cl 0.201 0.701 0.500
CELL_PARAMETERS angstrom
5.581 -0.023 0.007
2.384 5.046 -0.007
-3.189 -3.771 2.600
```

VASP energy, eV per atom: -5.3552
Space-group type: No. 44
E_form (uncorrected), eV/atom: 0.368



(3)
# Fe4SbCl

An optimized crystal structure of Fe4SbCl (PBE, Alexandria via LeMat-Bulk). Values from VASP.

Cell and atoms, written as Quantum ESPRESSO input:
```
&SYSTEM
  ibrav = 0, nat = 6, ntyp = 3
/
ATOMIC_SPECIES
Fe 55.84 Fe.upf
Cl 35.45 Cl.upf
Sb 121.76 Sb.upf
ATOMIC_POSITIONS crystal
Fe 0.872 0.376 0.376
Fe 0.376 0.376 0.376
Fe 0.376 0.376 0.872
Fe 0.376 0.872 0.376
Cl 0.000 0.000 0.000
Sb 0.750 0.750 0.750
CELL_PARAMETERS angstrom
3.425 -3.582 1.103
2.612 0.238 4.347
-0.928 -3.345 3.705
```

VASP energy, eV per atom: -6.1870
Space-group type: No. 216
E_form (uncorrected), eV/atom: 0.450



(4)
# Fe2SbCl

An optimized crystal structure of Fe2SbCl (PBE, Alexandria via LeMat-Bulk). Values from VASP.

Cell and atoms, written as Quantum ESPRESSO input:
```
&SYSTEM
  ibrav = 0, nat = 4, ntyp = 3
/
ATOMIC_SPECIES
Cl 35.45 Cl.upf
Fe 55.84 Fe.upf
Sb 121.76 Sb.upf
ATOMIC_POSITIONS crystal
Cl 0.716 0.716 0.716
Fe 0.993 0.993 0.993
Fe 0.264 0.264 0.264
Sb 0.526 0.526 0.526
CELL_PARAMETERS angstrom
9.448 0.546 0.327
8.737 3.637 0.327
8.737 2.010 3.049
```

VASP energy, eV per atom: -5.7126
Space-group type: No. 160
E_form (uncorrected), eV/atom: 0.011



(5)
# FeSbCl2

An optimized crystal structure of FeSbCl2 (PBE, Alexandria via LeMat-Bulk). Values from VASP.

Cell and atoms, written as Quantum ESPRESSO input:
```
&SYSTEM
  ibrav = 0, nat = 8, ntyp = 3
/
ATOMIC_SPECIES
Cl 35.45 Cl.upf
Sb 121.76 Sb.upf
Fe 55.84 Fe.upf
ATOMIC_POSITIONS crystal
Cl 0.485 0.125 0.250
Cl 0.875 0.735 0.750
Cl 0.375 0.515 0.750
Cl 0.265 0.625 0.250
Sb 0.000 0.000 0.000
Sb 0.750 0.250 0.500
Fe 0.500 0.500 0.000
Fe 0.250 0.750 0.500
CELL_PARAMETERS angstrom
-1.042 -1.965 6.094
0.288 -6.183 -1.944
4.278 -4.104 2.862
```

VASP energy, eV per atom: -3.7005
Energy relative to the lowest polymorph listed for this composition, eV per atom: 0.654
Space-group type: No. 122
E_form (uncorrected), eV/atom: 0.369



(6)
# Fe2SbCl

An optimized crystal structure of Fe2SbCl (PBE, Alexandria via LeMat-Bulk). Values from VASP.

Cell and atoms, written as Quantum ESPRESSO input:
```
&SYSTEM
  ibrav = 0, nat = 4, ntyp = 3
/
ATOMIC_SPECIES
Fe 55.84 Fe.upf
Cl 35.45 Cl.upf
Sb 121.76 Sb.upf
ATOMIC_POSITIONS crystal
Fe 0.482 0.482 0.000
Fe 0.018 0.018 0.000
Cl 0.250 0.750 0.500
Sb 0.750 0.250 0.500
CELL_PARAMETERS angstrom
-1.499 -5.076 -0.477
0.710 -1.659 4.998
-2.818 3.014 -3.349
```

VASP energy, eV per atom: -5.2259
Space-group type: No. 71
E_form (uncorrected), eV/atom: 0.498



Computed values of mass density (unit: Mg/m³) for the preceding records, in sequence: 4.7; 6.1; 6.8; 5.5; 4.2; 6.0.